Record 1
Below is crystalline CoIrSN2 at its relaxed geometry, with properties calculated at the GGA-PBEsol level.

Calculated values
Density of states at the Fermi level (states/eV/cell): 4.21
Volume (Å³/f.u.): 73
M_tot (μB/f.u.): 0.0
Energy (eV for the cell shown): -32.978
Formation energy (no corrections) (eV/atom): 1.204

Structure (extended XYZ):
```
5
Lattice="3.3661 0.0000 0.0000 0.0000 3.3661 0.0000 0.0000 0.0000 6.4799" Properties=species:S:1:pos:R:3 pbc="T T T"
Co 0.0000 0.0000 0.0000
Ir 1.6831 1.6831 3.2400
S 0.0000 0.0000 3.2400
N 0.0000 1.6831 0.0000
N 1.6831 0.0000 0.0000
```

***

Record 2
Below is crystalline CoIrSe2N at its relaxed geometry, with properties calculated at the GGA-PBEsol level.

Calculated values
Density of states at the Fermi level (states/eV/cell): 3.16
Volume (Å³/f.u.): 73
M_tot (μB/f.u.): 0.0
Energy (eV for the cell shown): -30.907
Formation energy (no corrections) (eV/atom): 0.576

Structure (extended XYZ):
```
5
Lattice="4.7399 0.0000 0.0000 0.0000 4.7399 0.0000 0.0000 0.0000 3.2486" Properties=species:S:1:pos:R:3 pbc="T T T"
Co 0.0000 0.0000 0.0000
Ir 2.3700 2.3700 1.6243
Se 0.0000 2.3700 0.0000
Se 2.3700 0.0000 0.0000
N 0.0000 0.0000 1.6243
```

***

Record 3
Below is crystalline CoTeIrN2 at its relaxed geometry, with properties calculated at the GGA-PBEsol level.

Calculated values
Density of states at the Fermi level (states/eV/cell): 4.13
Volume (Å³/f.u.): 72
M_tot (μB/f.u.): 0.0
Energy (eV for the cell shown): -31.886
Formation energy (no corrections) (eV/atom): 1.251

Structure (extended XYZ):
```
5
Lattice="3.5982 0.0000 0.0000 0.0000 3.5982 0.0000 0.0000 0.0000 5.5635" Properties=species:S:1:pos:R:3 pbc="T T T"
Co 0.0000 0.0000 0.0000
Te 0.0000 0.0000 2.7818
Ir 1.7991 1.7991 2.7818
N 0.0000 1.7991 0.0000
N 1.7991 0.0000 0.0000
```

***

Q: Number 2 is which compound?
A: CoIrSe2N